# 1
## NbSCl2F (PBE)

Data for a relaxed NbSCl2F crystal. Values from VASP.

- SG = P4/mmm (123)
- excess energy over the best structure of this formula in the dataset (kcal/mol of atoms) = 24.82
- formation energy (no corrections) (eV per atom) = 0.360

Geometry as Quantum ESPRESSO input:
```
&SYSTEM
  ibrav = 0, nat = 5, ntyp = 4
/
ATOMIC_SPECIES
Nb 92.91 Nb.upf
F 19.00 F.upf
S 32.06 S.upf
Cl 35.45 Cl.upf
ATOMIC_POSITIONS crystal
Nb 0.500 0.500 0.500
F 0.000 0.000 0.000
S 0.000 0.000 0.500
Cl 0.000 0.500 0.000
Cl 0.500 0.000 0.000
CELL_PARAMETERS angstrom
5.034 0.000 0.000
0.000 5.034 0.000
0.000 0.000 3.690
```

# 2
## BaLi4Sn8 (PBE)

Data for a relaxed BaLi4Sn8 crystal. Values from VASP.

- SG = I4/mmm (139)
- formation energy (meV/atom) = -309

Geometry as Quantum ESPRESSO input:
```
&SYSTEM
  ibrav = 0, nat = 13, ntyp = 3
/
ATOMIC_SPECIES
Ba 137.33 Ba.upf
Li 6.94 Li.upf
Sn 118.71 Sn.upf
ATOMIC_POSITIONS crystal
Ba 0.000 0.000 0.000
Li 0.000 0.000 0.500
Li 0.500 0.000 0.500
Li 0.000 0.500 0.000
Li 0.500 0.500 0.000
Sn 0.000 0.347 0.653
Sn 0.000 0.653 0.347
Sn 0.347 0.653 0.653
Sn 0.653 0.347 0.347
Sn 0.500 0.776 0.224
Sn 0.500 0.224 0.776
Sn 0.276 0.224 0.224
Sn 0.724 0.776 0.776
CELL_PARAMETERS angstrom
5.757 0.000 2.314
2.879 7.240 1.157
0.178 0.000 7.875
```

# 3
## Tl2MoSe (PBE)

Data for a relaxed Tl2MoSe crystal. Values from VASP.

- SG = I4/mmm (139)
- excess energy over the best structure of this formula in the dataset (kcal/mol of atoms) = 12.88
- formation energy (no corrections) (eV per atom) = 0.635

Geometry as Quantum ESPRESSO input:
```
&SYSTEM
  ibrav = 0, nat = 4, ntyp = 3
/
ATOMIC_SPECIES
Mo 95.94 Mo.upf
Se 78.96 Se.upf
Tl 204.38 Tl.upf
ATOMIC_POSITIONS crystal
Mo 0.250 0.750 0.500
Se 0.750 0.250 0.500
Tl 0.000 0.000 0.000
Tl 0.500 0.500 0.000
CELL_PARAMETERS angstrom
6.231 -0.002 0.000
3.337 5.263 0.000
-4.784 -2.631 3.004
```

# 4
## YWSe2 (PBE)

Data for a relaxed YWSe2 crystal. Values from VASP.

- SG = P4/mmm (123)
- excess energy over the best structure of this formula in the dataset (kcal/mol of atoms) = 3.73
- formation energy (no corrections) (eV per atom) = -0.377

Geometry as Quantum ESPRESSO input:
```
&SYSTEM
  ibrav = 0, nat = 4, ntyp = 3
/
ATOMIC_SPECIES
Se 78.96 Se.upf
W 183.84 W.upf
Y 88.91 Y.upf
ATOMIC_POSITIONS crystal
Se 0.000 0.000 0.000
Se 0.500 0.000 0.500
W 0.000 0.500 0.500
Y 0.500 0.500 0.000
CELL_PARAMETERS angstrom
7.498 0.016 0.036
-3.010 3.668 -0.001
1.479 1.216 2.749
```

| no. | VASP energy (Ha/atom) |
| --- | --- |
| 1 | -0.1320 |
| 2 | -0.1290 |
| 3 | -0.1517 |
| 4 | -0.2563 |